Material: ScFe2Ni5
Method: DFT, PBE
State: relaxed

Properties
For the formation energy from the elements, the calculation gives 0.02 eV per atom. Its crystal system is orthorhombic. Its space-group type is Immm.

Cell: 3.418 5.920 5.920 Å, 69.16 73.22 73.22°
Last column: magnetic moment on the atom in μB.
Fractional coordinates of all 8 atoms:
Ni  0.362  0.830  0.445  0.61
Ni  0.362  0.445  0.830  0.61
Ni  0.638  0.170  0.555  0.61
Ni  0.000  0.500  0.500  0.49
Ni  0.638  0.555  0.170  0.61
Sc  0.000  0.000  0.000  -0.21
Fe  0.257  0.243  0.243  2.61
Fe  0.743  0.757  0.757  2.61

=====

Material: Sc2FeNi
Method: DFT, PBE
State: relaxed

Properties
For the formation energy from the elements, the calculation gives -0.28 eV per atom. Its crystal system is tetragonal. Its space-group type is P4/mmm.

Cell: 4.407 4.407 3.180 Å, 90.02 90.02 90.01°
Fractional coordinates of all 4 atoms:
Fe  0.500  0.000  0.500
Sc  0.500  0.500  0.000
Sc  0.000  0.000  0.000
Ni  0.000  0.500  0.500

=====

Material: ScFeNi2
Method: DFT, PBE
State: relaxed

Properties
For the formation energy from the elements, the calculation gives 0.21 eV per atom. Its crystal system is tetragonal. Its space-group type is I-42d.

Cell: 3.717 3.717 8.802 Å, 77.81 77.81 90.00°
Last column: magnetic moment on the atom in μB.
Fractional coordinates of all 8 atoms:
Ni  0.875  0.911  0.750  0.33
Ni  0.375  0.339  0.750  0.33
Ni  0.089  0.625  0.250  0.30
Ni  0.661  0.125  0.250  0.31
Sc  0.500  0.500  0.000  -0.25
Sc  0.250  0.750  0.500  -0.25
Fe  0.000  0.000  0.000  2.28
Fe  0.750  0.250  0.500  2.28

=====

Material: Sc2FeNi
Method: DFT, PBE
State: relaxed

Properties
For the formation energy from the elements, the calculation gives -0.14 eV per atom. Its crystal system is orthorhombic. Its space-group type is Imm2.

Cell: 5.479 5.479 5.479 Å, 145.95 134.38 58.13°
Last column: magnetic moment on the atom in μB.
Fractional coordinates of all 4 atoms:
Fe  0.475  0.475  0.000  1.97
Sc  0.736  0.236  0.500  -0.16
Sc  0.015  0.015  0.000  -0.32
Ni  0.274  0.774  0.500  0.24

=====

Material: ScFeNi2
Method: DFT, PBE
State: relaxed

Properties
For the formation energy from the elements, the calculation gives -0.11 eV per atom. Its crystal system is orthorhombic. Its space-group type is Pmm2.

Cell: 3.103 3.093 5.657 Å, 90.00 90.00 90.00°
Last column: magnetic moment on the atom in μB.
Fractional coordinates of all 4 atoms:
Fe  0.500  0.500  0.795  2.46
Ni  0.500  0.500  0.225  -0.01
Ni  0.000  0.000  0.991  0.63
Sc  0.000  0.000  0.488  -0.21

=====

Material: Sc2FeNi
Method: DFT, PBE
State: relaxed

Properties
For the formation energy from the elements, the calculation gives -0.01 eV per atom. Its crystal system is orthorhombic. Its space-group type is Pmm2.

Cell: 2.941 4.145 5.387 Å, 90.00 90.00 90.00°
Last column: magnetic moment on the atom in μB.
Fractional coordinates of all 4 atoms:
Ni  0.500  0.500  0.783  -0.01
Sc  0.500  0.500  0.311  -0.25
Sc  0.000  0.000  0.943  -0.18
Fe  0.000  0.000  0.462  1.58

=====

Material: ScFeNi2
Method: DFT, PBE
State: relaxed

Properties
For the formation energy from the elements, the calculation gives 0.20 eV per atom. Its crystal system is trigonal. Its space-group type is R3m.

Cell: 8.505 8.505 8.505 Å, 18.51 18.51 18.51°
Last column: magnetic moment on the atom in μB.
Fractional coordinates of all 4 atoms:
Ni  0.255  0.255  0.255  0.01
Ni  0.001  0.001  0.001  0.63
Sc  0.501  0.501  0.501  -0.02
Fe  0.743  0.743  0.743  2.50

=====

Material: ScFe4Ni
Method: DFT, PBE
State: relaxed

Properties
For the formation energy from the elements, the calculation gives -0.06 eV per atom. Its crystal system is cubic. Its space-group type is F-43m.

Cell: 4.787 4.787 4.787 Å, 60.00 60.00 60.00°
Last column: magnetic moment on the atom in μB.
Fractional coordinates of all 6 atoms:
Fe  0.375  0.375  0.375  1.98
Fe  0.375  0.875  0.375  1.98
Fe  0.375  0.375  0.875  1.98
Fe  0.875  0.375  0.375  1.98
Ni  0.750  0.750  0.750  0.79
Sc  0.000  0.000  0.000  -0.22

=====

Material: Sc2FeNi
Method: DFT, PBE
State: relaxed

Properties
For the formation energy from the elements, the calculation gives -0.07 eV per atom. Its crystal system is tetragonal. Its space-group type is P4mm.

Cell: 3.057 3.057 7.446 Å, 90.00 90.00 90.00°
Last column: magnetic moment on the atom in μB.
Fractional coordinates of all 4 atoms:
Fe  0.000  0.000  0.545  2.63
Sc  0.000  0.000  0.936  -0.06
Sc  0.500  0.500  0.308  -0.30
Ni  0.500  0.500  0.711  0.43

=====

Material: ScFeNi
Method: DFT, PBE
State: relaxed

Properties
For the formation energy from the elements, the calculation gives 0.10 eV per atom. Its crystal system is cubic. Its space-group type is F-43m.

Cell: 4.144 4.144 4.144 Å, 60.00 60.00 60.00°
Last column: magnetic moment on the atom in μB.
Fractional coordinates of all 3 atoms:
Sc  0.000  0.000  0.000  -0.25
Fe  0.500  0.500  0.500  2.68
Ni  0.250  0.250  0.250  0.47

=====

Material: ScFeNi2
Method: DFT, PBE
State: relaxed

Properties
For the formation energy from the elements, the calculation gives -0.05 eV per atom. Its crystal system is orthorhombic. Its space-group type is Pmma.

Cell: 4.499 4.653 11.412 Å, 90.00 90.00 90.00°
Last column: magnetic moment on the atom in μB.
Fractional coordinates of all 16 atoms:
Fe  0.500  0.250  0.328  2.60
Fe  0.000  0.750  0.552  2.46
Fe  0.000  0.250  0.448  2.46
Fe  0.500  0.750  0.672  2.60
Ni  0.500  0.500  0.500  0.67
Ni  0.245  0.750  0.844  0.20
Ni  0.755  0.250  0.156  0.20
Ni  0.500  0.000  0.500  0.67
Ni  0.245  0.250  0.156  0.20
Ni  0.755  0.750  0.844  0.20
Ni  0.000  0.000  0.000  0.02
Ni  0.000  0.500  0.000  0.02
Sc  0.000  0.750  0.312  -0.24
Sc  0.000  0.250  0.688  -0.24
Sc  0.500  0.250  0.909  -0.05
Sc  0.500  0.750  0.091  -0.05

=====

Material: ScFeNi2
Method: DFT, PBE
State: relaxed

Properties
For the formation energy from the elements, the calculation gives -0.18 eV per atom. Its crystal system is tetragonal. Its space-group type is I-4m2.

Cell: 4.720 4.720 4.720 Å, 134.10 134.22 66.84°
Last column: magnetic moment on the atom in μB.
Fractional coordinates of all 4 atoms:
Ni  0.750  0.250  0.500  0.42
Ni  0.000  0.000  0.000  0.42
Sc  0.500  0.500  0.000  -0.15
Fe  0.250  0.750  0.500  2.61

=====

Material: ScFeNi
Method: DFT, PBE
State: relaxed

Properties
For the formation energy from the elements, the calculation gives 0.19 eV per atom. Its crystal system is trigonal. Its space-group type is P3m1.

Cell: 2.892 2.892 6.161 Å, 90.00 90.00 120.00°
Last column: magnetic moment on the atom in μB.
Fractional coordinates of all 3 atoms:
Ni  0.333  0.667  0.318  0.34
Sc  0.667  0.333  0.662  -0.29
Fe  0.000  0.000  0.019  2.59

=====

Material: Sc2FeNi
Method: DFT, PBE
State: relaxed

Properties
For the formation energy from the elements, the calculation gives 0.07 eV per atom. Its crystal system is trigonal. Its space-group type is R-3m.

Cell: 7.954 7.954 7.954 Å, 22.60 22.60 22.60°
Last column: magnetic moment on the atom in μB.
Fractional coordinates of all 4 atoms:
Sc  0.502  0.502  0.502  -0.12
Sc  0.998  0.998  0.998  -0.12
Fe  0.250  0.250  0.250  0.76
Ni  0.750  0.750  0.750  -0.01

=====

Material: Sc8Fe2Ni
Method: DFT, PBE
State: relaxed

Properties
For the formation energy from the elements, the calculation gives -0.08 eV per atom. Its crystal system is monoclinic. Its space-group type is Cm.

Cell: 5.189 6.917 6.917 Å, 110.47 99.56 99.56°
Fractional coordinates of all 11 atoms:
Fe  0.493  0.692  0.318
Fe  0.493  0.318  0.692
Ni  0.079  0.998  0.998
Sc  0.992  0.781  0.223
Sc  0.185  0.370  0.370
Sc  0.394  0.671  0.935
Sc  0.802  0.633  0.633
Sc  0.588  0.073  0.339
Sc  0.992  0.223  0.781
Sc  0.588  0.339  0.073
Sc  0.394  0.935  0.671

=====

Material: ScFeNi2
Method: DFT, PBE
State: relaxed

Properties
For the formation energy from the elements, the calculation gives 0.15 eV per atom. Its crystal system is trigonal. Its space-group type is R-3m.

Cell: 8.037 8.037 8.037 Å, 20.67 20.67 20.67°
Last column: magnetic moment on the atom in μB.
Fractional coordinates of all 4 atoms:
Ni  0.494  0.494  0.494  0.52
Ni  0.006  0.006  0.006  0.52
Sc  0.250  0.250  0.250  0.01
Fe  0.750  0.750  0.750  3.01

=====

Material: Sc2FeNi
Method: DFT, PBE
State: relaxed

Properties
For the formation energy from the elements, the calculation gives 0.04 eV per atom. Its crystal system is cubic. Its space-group type is F-43m.

Cell: 4.459 4.459 4.459 Å, 60.00 60.00 60.00°
Last column: magnetic moment on the atom in μB.
Fractional coordinates of all 4 atoms:
Sc  0.250  0.250  0.250  -0.15
Sc  0.000  0.000  0.000  -0.13
Ni  0.750  0.750  0.750  0.56
Fe  0.500  0.500  0.500  2.44

=====

Material: Sc6FeNi
Method: DFT, PBE
State: relaxed

Properties
For the formation energy from the elements, the calculation gives -0.05 eV per atom. Its crystal system is monoclinic. Its space-group type is C2/m.

Cell: 6.074 6.071 5.848 Å, 58.73 80.29 71.04°
Fractional coordinates of all 8 atoms:
Sc  0.256  0.920  0.644
Sc  0.744  0.080  0.356
Sc  0.256  0.565  0.356
Sc  0.744  0.748  0.000
Sc  0.744  0.435  0.644
Sc  0.256  0.252  0.000
Ni  0.000  0.000  0.000
Fe  0.500  0.500  0.000

=====

Material: ScFeNi2
Method: DFT, PBE
State: relaxed

Properties
For the formation energy from the elements, the calculation gives -0.12 eV per atom. Its crystal system is cubic. Its space-group type is F-43m.

Cell: 4.212 4.212 4.212 Å, 60.00 60.00 60.00°
Last column: magnetic moment on the atom in μB.
Fractional coordinates of all 4 atoms:
Sc  0.750  0.750  0.750  -0.13
Fe  0.500  0.500  0.500  2.42
Ni  0.250  0.250  0.250  0.64
Ni  0.000  0.000  0.000  0.12

=====

Material: ScFeNi2
Method: DFT, PBE
State: relaxed

Properties
For the formation energy from the elements, the calculation gives -0.19 eV per atom. Its crystal system is tetragonal. Its space-group type is I4/mmm.

Cell: 4.510 4.510 4.510 Å, 129.54 129.43 74.23°
Last column: magnetic moment on the atom in μB.
Fractional coordinates of all 4 atoms:
Ni  0.000  0.000  0.000  0.37
Ni  0.500  0.500  0.000  0.37
Fe  0.250  0.750  0.500  2.58
Sc  0.750  0.250  0.500  -0.18

=====

no.,volume (A^3/atom),total magnetic moment (μB/cell)
1,13.106,7.67
2,15.438,0.00
3,14.507,5.14
4,16.316,1.49
5,13.573,2.73
6,16.418,0.93
7,13.543,3.03
8,12.929,8.30
9,17.400,2.51
10,16.777,2.77
11,14.930,11.31
12,13.314,3.19
13,14.877,2.48
14,16.301,0.38
15,20.226,0.00
16,14.157,4.00
17,15.675,2.69
18,21.791,0.00
19,13.209,2.93
20,13.317,3.01